No. 1
An optimized crystal structure of Pm2Fe2B2C. Source: Alexandria via LeMat-Bulk, functional PBE.

Structure (CIF):
```
data_Pm2Fe2B2C
_chemical_formula_sum 'Pm4 Fe4 B4 C2'
_cell_length_a 10.317
_cell_length_b 3.649
_cell_length_c 6.607
_cell_angle_alpha 90.00
_cell_angle_beta 126.08
_cell_angle_gamma 90.00
_space_group_name_H-M_alt 'C 1 2/m 1'
_space_group_IT_number 12
_space_group_name_Hall '-C 2y'
loop_
_atom_site_label
_atom_site_fract_x
_atom_site_fract_y
_atom_site_fract_z
_atom_site_occupancy
Pm1 0.062 0.000 0.315 1
Fe1 0.200 0.500 0.085 1
B1 0.205 0.500 0.783 1
C1 0.000 0.500 0.000 1
```

Calculated values
formation enthalpy at 0 K	-353	meV/atom


No. 2
An optimized crystal structure of PmFe2BC. Source: Alexandria via LeMat-Bulk, functional PBE.

Structure (CIF):
```
data_PmFe2BC
_chemical_formula_sum 'Pm4 Fe8 B4 C4'
_cell_length_a 3.626
_cell_length_b 10.038
_cell_length_c 6.729
_cell_angle_alpha 90.00
_cell_angle_beta 90.00
_cell_angle_gamma 90.00
_space_group_name_H-M_alt 'C m c m'
_space_group_IT_number 63
_space_group_name_Hall '-C 2c 2'
loop_
_atom_site_label
_atom_site_fract_x
_atom_site_fract_y
_atom_site_fract_z
_atom_site_occupancy
Pm1 0.000 0.048 0.250 1
Fe1 0.000 0.323 0.063 1
B1 0.000 0.231 0.750 1
C1 0.000 0.500 0.000 1
```

Calculated values
formation enthalpy at 0 K	-171	meV/atom


No. 3
An optimized crystal structure of PrFe2BC. Source: Alexandria via LeMat-Bulk, functional PBE.

Structure (CIF):
```
data_PrFe2BC
_chemical_formula_sum 'Pr4 Fe8 B4 C4'
_cell_length_a 3.709
_cell_length_b 10.048
_cell_length_c 6.769
_cell_angle_alpha 90.00
_cell_angle_beta 90.00
_cell_angle_gamma 90.00
_space_group_name_H-M_alt 'C m c m'
_space_group_IT_number 63
_space_group_name_Hall '-C 2c 2'
loop_
_atom_site_label
_atom_site_fract_x
_atom_site_fract_y
_atom_site_fract_z
_atom_site_occupancy
Pr1 0.000 0.048 0.250 1
Fe1 0.000 0.323 0.062 1
B1 0.000 0.231 0.750 1
C1 0.000 0.500 0.000 1
```

Calculated values
formation enthalpy at 0 K	-78	meV/atom


No. 4
An optimized crystal structure of Pr2Fe2BC2. Source: Alexandria via LeMat-Bulk, functional PBE.

Structure (CIF):
```
data_Pr2Fe2BC2
_chemical_formula_sum 'Pr4 Fe4 B2 C4'
_cell_length_a 10.273
_cell_length_b 3.562
_cell_length_c 6.550
_cell_angle_alpha 90.00
_cell_angle_beta 124.30
_cell_angle_gamma 90.00
_space_group_name_H-M_alt 'C 1 2/m 1'
_space_group_IT_number 12
_space_group_name_Hall '-C 2y'
loop_
_atom_site_label
_atom_site_fract_x
_atom_site_fract_y
_atom_site_fract_z
_atom_site_occupancy
Pr1 0.070 0.000 0.335 1
Fe1 0.206 0.500 0.084 1
B1 0.000 0.500 0.000 1
C1 0.210 0.500 0.788 1
```

Calculated values
formation enthalpy at 0 K	-100	meV/atom